*a*
# BiSb2Pb

An optimized crystal structure of BiSb2Pb (GGA-PBE, Alexandria via LeMat-Bulk).

Calculated values
Density of states at the Fermi level, states/eV/cell: 11.56

The structure in CIF format:
```
data_BiSb2Pb
_chemical_formula_sum 'Bi4 Sb8 Pb4'
_symmetry_space_group_name_H-M 'F m -3 m'
_symmetry_Int_Tables_number 225
_symmetry_space_group_name_Hall '-F 4 2 3'
_cell_length_a 7.819
_cell_length_b 7.819
_cell_length_c 7.819
_cell_angle_alpha 90.00
_cell_angle_beta 90.00
_cell_angle_gamma 90.00
loop_
_atom_site_label
_atom_site_fract_x
_atom_site_fract_y
_atom_site_fract_z
Bi1 0.000 0.000 0.000
Sb1 0.250 0.250 0.250
Pb1 0.000 0.000 0.500
```

***

*b*
# BiSb2Pb

An optimized crystal structure of BiSb2Pb (GGA-PBE, Alexandria via LeMat-Bulk).

Calculated values
Density of states at the Fermi level, states/eV/cell: 3.60

The structure in CIF format:
```
data_BiSb2Pb
_chemical_formula_sum 'Bi2 Sb4 Pb2'
_symmetry_space_group_name_H-M 'P m m n'
_symmetry_Int_Tables_number 59
_cell_length_a 5.977
_cell_length_b 6.473
_cell_length_c 6.798
_cell_angle_alpha 90.00
_cell_angle_beta 90.00
_cell_angle_gamma 90.00
loop_
_symmetry_equiv_pos_as_xyz
'x,y,z'
'-x,-y,-z'
'-x+1/2,-y+1/2,z'
'x+1/2,y+1/2,-z'
'x+1/2,-y,-z'
'-x+1/2,y,z'
'-x,y+1/2,-z'
'x,-y+1/2,z'
loop_
_atom_site_label
_atom_site_fract_x
_atom_site_fract_y
_atom_site_fract_z
Bi1 0.250 0.250 0.104
Sb1 0.250 0.750 0.047
Sb2 0.250 0.750 0.612
Pb1 0.250 0.250 0.576
```

***

*b* wins, 90 meV per atom ahead of the next structure.

***

*a*
# BiSb2Pb

An optimized crystal structure of BiSb2Pb (GGA-PBE, Alexandria via LeMat-Bulk).

Calculated values
Density of states at the Fermi level, states/eV/cell: 3.77

The structure in CIF format:
```
data_BiSb2Pb
_chemical_formula_sum 'Bi1 Sb2 Pb1'
_symmetry_space_group_name_H-M 'P 4/m m m'
_symmetry_Int_Tables_number 123
_symmetry_space_group_name_Hall '-P 4 2'
_cell_length_a 3.884
_cell_length_b 3.884
_cell_length_c 7.830
_cell_angle_alpha 90.00
_cell_angle_beta 90.00
_cell_angle_gamma 90.00
loop_
_atom_site_label
_atom_site_fract_x
_atom_site_fract_y
_atom_site_fract_z
Bi1 0.000 0.000 0.000
Sb1 0.500 0.500 0.244
Pb1 0.000 0.000 0.500
```

***

*b*
# BiSb2Pb

An optimized crystal structure of BiSb2Pb (GGA-PBE, Alexandria via LeMat-Bulk).

Calculated values
Density of states at the Fermi level, states/eV/cell: 8.50

The structure in CIF format:
```
data_BiSb2Pb
_chemical_formula_sum 'Bi3 Sb6 Pb3'
_symmetry_space_group_name_H-M 'R 3 m'
_symmetry_Int_Tables_number 160
_symmetry_space_group_name_Hall 'R 3 -2"'
_cell_length_a 4.4202
_cell_length_b 4.4202
_cell_length_c 23.6708
_cell_angle_alpha 90.00
_cell_angle_beta 90.00
_cell_angle_gamma 120.00
loop_
_atom_site_label
_atom_site_fract_x
_atom_site_fract_y
_atom_site_fract_z
Bi1 0.0000 0.0000 0.0000
Sb1 0.0000 0.0000 0.4078
Sb2 0.0000 0.0000 0.5771
Pb1 0.0000 0.0000 0.8330
```

***

*b* wins, 75 meV per atom ahead of the next structure.

***

*a*
# BiSb2Pb

An optimized crystal structure of BiSb2Pb (GGA-PBE, Alexandria via LeMat-Bulk).

Calculated values
Density of states at the Fermi level, states/eV/cell: 6.94

The structure in CIF format:
```
data_BiSb2Pb
_chemical_formula_sum 'Bi3 Sb6 Pb3'
_symmetry_space_group_name_H-M 'R -3 m'
_symmetry_Int_Tables_number 166
_symmetry_space_group_name_Hall '-R 3 2"'
_cell_length_a 4.4696
_cell_length_b 4.4696
_cell_length_c 22.5937
_cell_angle_alpha 90.00
_cell_angle_beta 90.00
_cell_angle_gamma 120.00
loop_
_atom_site_label
_atom_site_fract_x
_atom_site_fract_y
_atom_site_fract_z
Bi1 0.0000 0.0000 0.0000
Sb1 0.0000 0.0000 0.2508
Pb1 0.0000 0.0000 0.5000
```

***

*b*
# BiSb2Pb

An optimized crystal structure of BiSb2Pb (GGA-PBE, Alexandria via LeMat-Bulk).

Calculated values
Density of states at the Fermi level, states/eV/cell: 3.14

The structure in CIF format:
```
data_BiSb2Pb
_chemical_formula_sum 'Bi1 Sb2 Pb1'
_symmetry_space_group_name_H-M 'P 4/m m m'
_symmetry_Int_Tables_number 123
_symmetry_space_group_name_Hall '-P 4 2'
_cell_length_a 5.857
_cell_length_b 5.857
_cell_length_c 3.495
_cell_angle_alpha 90.00
_cell_angle_beta 90.00
_cell_angle_gamma 90.00
loop_
_atom_site_label
_atom_site_fract_x
_atom_site_fract_y
_atom_site_fract_z
Bi1 0.000 0.000 0.000
Sb1 0.000 0.500 0.500
Pb1 0.500 0.500 0.000
```

***

*a* wins, 102 meV per atom ahead of the next structure.

***

*a*
# Bi2SbPb3

An optimized crystal structure of Bi2SbPb3 (GGA-PBE, Alexandria via LeMat-Bulk).

Calculated values
Density of states at the Fermi level, states/eV/cell: 12.91

The structure in CIF format:
```
data_Bi2SbPb3
_chemical_formula_sum 'Bi8 Sb4 Pb12'
_symmetry_space_group_name_H-M 'C 1 2/c 1'
_symmetry_Int_Tables_number 15
_symmetry_space_group_name_Hall '-C 2yc'
_cell_length_a 13.518
_cell_length_b 7.009
_cell_length_c 8.668
_cell_angle_alpha 90.00
_cell_angle_beta 102.79
_cell_angle_gamma 90.00
loop_
_atom_site_label
_atom_site_fract_x
_atom_site_fract_y
_atom_site_fract_z
Bi1 0.168 0.131 0.084
Sb1 0.000 0.360 0.250
Pb1 0.000 0.095 0.750
Pb2 0.159 0.403 0.580
```

***

*b*
# Bi2SbPb3

An optimized crystal structure of Bi2SbPb3 (GGA-PBE, Alexandria via LeMat-Bulk).

Calculated values
Density of states at the Fermi level, states/eV/cell: 13.16

The structure in CIF format:
```
data_Bi2SbPb3
_chemical_formula_sum 'Bi8 Sb4 Pb12'
_symmetry_space_group_name_H-M 'P n m a'
_symmetry_Int_Tables_number 62
_symmetry_space_group_name_Hall '-P 2ac 2n'
_cell_length_a 20.295
_cell_length_b 4.340
_cell_length_c 9.106
_cell_angle_alpha 90.00
_cell_angle_beta 90.00
_cell_angle_gamma 90.00
loop_
_atom_site_label
_atom_site_fract_x
_atom_site_fract_y
_atom_site_fract_z
Bi1 0.050 0.250 0.094
Bi2 0.123 0.750 0.619
Sb1 0.225 0.250 0.757
Pb1 0.007 0.750 0.344
Pb2 0.163 0.250 0.355
Pb3 0.167 0.750 0.003
```

***

*a* wins, 11 meV per atom ahead of the next structure.